Below is HfPdN2F after structural relaxation, with properties calculated at the PBE level.

Cell lengths 4.2222, 4.2222, 3.9983 Å; angles 90.00, 90.00, 90.00 degrees
Closest atoms and distances in Å follow each position.
Space group P4/mmm (No. 123)
Unique sites:
Hf 0.0000 0.0000 0.0000 [1 per cell]  2 F 2.00, 4 N 2.11
Pd 0.5000 0.5000 0.5000 [1 per cell]  8 N 2.91, 4 F 2.99
N 0.0000 0.5000 0.0000 [2 per cell]  2 Hf 2.11
F 0.0000 0.0000 0.5000 [1 per cell]  2 Hf 2.00

Values from the calculation:
VASP energy = -35.41 eV for the cell shown
Raw formation energy = -0.3492 eV/atom
Excess energy over the best structure of this formula in the dataset = 0.000 eV/atom